Record 1
The following is a PBE calculation of an optimized crystal structure of TlIn2H, from Alexandria.

Results
total DFT energy (no corrections)	-2.614	eV per atom
SG	P-1 (2)
energy above the most stable polymorph in this dataset	0	meV per atom

```
TlIn2H
1.0
3.478 0.014 0.008
-1.721 7.135 1.451
-0.002 4.018 8.249
H In Tl
2 4 2
direct
0.351 0.694 0.090
0.649 0.306 0.910
0.368 0.743 0.470
0.632 0.257 0.530
0.879 0.753 0.168
0.121 0.247 0.832
0.129 0.258 0.207
0.871 0.742 0.793
```

***

Record 2
The following is a PBE calculation of an optimized crystal structure of Nd5HoSb5, from Alexandria.

Results
total DFT energy (no corrections)	-5.444	eV per atom
SG	C2/m (12)
uncorrected formation energy	-0.987	eV per atom

```
Nd5HoSb5
1.0
-1.541 5.118 -3.368
-5.114 -1.826 5.489
6.538 4.573 3.958
Nd Sb Ho
5 5 1
direct
0.000 0.000 0.500
0.335 0.670 0.168
0.671 0.342 0.332
0.329 0.658 0.668
0.665 0.330 0.832
0.500 0.000 0.000
0.836 0.671 0.670
0.164 0.329 0.330
0.835 0.670 0.164
0.165 0.330 0.836
0.000 0.000 0.000
```

***

Record 3
The following is a PBE calculation of an optimized crystal structure of Nd2Co2Ru, from Alexandria.

Results
total DFT energy (no corrections)	-6.531	eV per atom
SG	P4/mbm (127)
energy above the most stable polymorph in this dataset	153	meV per atom
DFT formation energy	0.073	eV/atom

```
Nd2Co2Ru
1.0
6.696 0.000 0.000
0.000 6.696 0.000
0.000 0.000 8.645
Co Nd Ru
8 8 4
direct
0.379 0.879 0.250
0.121 0.379 0.250
0.621 0.121 0.250
0.879 0.621 0.250
0.379 0.879 0.750
0.621 0.121 0.750
0.879 0.621 0.750
0.121 0.379 0.750
0.686 0.814 0.500
0.314 0.186 0.000
0.314 0.186 0.500
0.686 0.814 0.000
0.814 0.314 0.500
0.814 0.314 0.000
0.186 0.686 0.500
0.186 0.686 0.000
0.000 0.000 0.750
0.000 0.000 0.250
0.500 0.500 0.250
0.500 0.500 0.750
```

***

Record 4
The following is a PBE calculation of an optimized crystal structure of PrTmSi4, from Alexandria.

Results
total DFT energy (no corrections)	-5.636	eV per atom
SG	Pbam (55)
uncorrected formation energy	-0.479	eV per atom

```
PrTmSi4
1.0
4.115 0.000 0.000
0.000 7.280 0.000
0.000 0.000 16.407
Si Tm Pr
16 4 4
direct
0.500 0.919 0.063
0.500 0.081 0.937
0.500 0.032 0.684
0.500 0.346 0.042
0.500 0.468 0.184
0.500 0.654 0.958
0.500 0.795 0.196
0.500 0.581 0.563
0.500 0.205 0.804
0.500 0.419 0.437
0.500 0.705 0.696
0.500 0.968 0.316
0.500 0.532 0.816
0.500 0.846 0.458
0.500 0.295 0.304
0.500 0.154 0.542
0.000 0.860 0.585
0.000 0.360 0.915
0.000 0.640 0.085
0.000 0.140 0.415
0.000 0.366 0.673
0.000 0.634 0.327
0.000 0.866 0.827
0.000 0.134 0.173
```

***

Record 5
The following is a PBE calculation of an optimized crystal structure of HgGe2Bi2, from Alexandria.

Results
total DFT energy (no corrections)	-3.241	eV per atom
SG	P4/mbm (127)
energy above the most stable polymorph in this dataset	41	meV per atom
DFT formation energy	0.219	eV/atom

```
HgGe2Bi2
1.0
-5.750 -0.119 -6.067
-3.786 -6.462 3.714
-2.180 2.437 2.019
Hg Ge Bi
2 4 4
direct
0.500 0.500 0.000
0.000 0.000 0.000
0.869 0.631 0.000
0.131 0.369 0.000
0.631 0.131 0.000
0.369 0.869 0.000
0.846 0.346 0.500
0.346 0.154 0.500
0.654 0.846 0.500
0.154 0.654 0.500
```

***

Record 6
The following is a PBE calculation of an optimized crystal structure of LiYOs2, from Alexandria.

Results
total DFT energy (no corrections)	-7.422	eV per atom
SG	C2/m (12)
energy above the most stable polymorph in this dataset	92	meV per atom
DFT formation energy	0.288	eV/atom

```
LiYOs2
1.0
-0.847 2.388 4.257
-3.541 1.574 3.086
-0.395 -3.428 3.292
Os Li Y
2 1 1
direct
0.012 0.012 0.963
0.488 0.488 0.537
0.750 0.750 0.750
0.250 0.250 0.250
```